Entry 1:
Computed, not measured: a geometry-optimized VOsC2 structure at the GGA-PBE level of DFT.

Calculated values
Energy above the most stable polymorph in this dataset, meV per atom: 337
Energy of formation, eV per atom: 0.799
Magnetic moment, μB per formula unit: 1.2
Calculated volume, Å³ per cell: 147.5

Cell: 5.2833 5.2833 5.2833 Å, 90.00 90.00 90.00°
Element x y z (fractional)
V 0.0000 0.0000 0.0000
V 0.0000 0.5000 0.5000
V 0.5000 0.0000 0.5000
V 0.5000 0.5000 0.0000
Os 0.0000 0.0000 0.5000
Os 0.0000 0.5000 0.0000
Os 0.5000 0.0000 0.0000
Os 0.5000 0.5000 0.5000
C 0.2500 0.2500 0.2500
C 0.2500 0.2500 0.7500
C 0.2500 0.7500 0.2500
C 0.2500 0.7500 0.7500
C 0.7500 0.2500 0.2500
C 0.7500 0.2500 0.7500
C 0.7500 0.7500 0.2500
C 0.7500 0.7500 0.7500

---

Entry 2:
Computed, not measured: a geometry-optimized Ba4NaSi4 structure at the GGA-PBE level of DFT.

Calculated values
Uncorrected formation energy, eV/atom: -0.202
Magnetic moment, μB per formula unit: 0.0
Calculated volume, Å³ per cell: 626.3

Cell: 9.6665 9.6665 6.7024 Å, 90.00 90.00 90.00°
Element x y z (fractional)
Ba 0.0418 0.6731 0.0880
Ba 0.1731 0.9582 0.5880
Ba 0.3269 0.5418 0.5880
Ba 0.4582 0.8269 0.0880
Ba 0.5418 0.1731 0.9120
Ba 0.6731 0.4582 0.4120
Ba 0.8269 0.0418 0.4120
Ba 0.9582 0.3269 0.9120
Na 0.2500 0.2500 0.2500
Na 0.7500 0.7500 0.7500
Si 0.0005 0.3923 0.4221
Si 0.1077 0.0005 0.0779
Si 0.3923 0.4995 0.0779
Si 0.4995 0.1077 0.4221
Si 0.5005 0.8923 0.5779
Si 0.6077 0.5005 0.9221
Si 0.8923 0.9995 0.9221
Si 0.9995 0.6077 0.5779

---

Entry 3:
Computed, not measured: a geometry-optimized Dy3Zn9Hg2 structure at the GGA-PBE level of DFT.

Calculated values
Energy of formation, eV per atom: -0.293
Magnetic moment, μB per formula unit: 0.0
Calculated volume, Å³ per cell: 266.0

Cell: 8.3090 8.3090 8.3090 Å, 148.89 114.18 74.58°
Element x y z (fractional)
Dy 0.0000 0.0000 0.0000
Dy 0.2935 0.2935 0.0000
Dy 0.7065 0.7065 0.0000
Zn 0.0297 0.6650 0.3647
Zn 0.1323 0.8555 0.2769
Zn 0.3002 0.6650 0.6353
Zn 0.4214 0.1445 0.2769
Zn 0.5000 0.0000 0.5000
Zn 0.5786 0.8555 0.7231
Zn 0.6998 0.3350 0.3647
Zn 0.8677 0.1445 0.7231
Zn 0.9703 0.3350 0.6353
Hg 0.3076 0.5000 0.8076
Hg 0.6924 0.5000 0.1924

---

Entry 4:
Computed, not measured: a geometry-optimized NaMg2ReO6 structure at the GGA-PBE level of DFT.

Calculated values
Uncorrected formation energy, eV/atom: -2.047
Magnetic moment, μB per formula unit: 0.0
Calculated volume, Å³ per cell: 117.1

Cell: 5.7042 5.7042 5.7042 Å, 55.37 55.37 55.37°
Element x y z (fractional)
Na 0.0000 0.0000 0.0000
Mg 0.2150 0.2150 0.2150
Mg 0.7186 0.7186 0.7186
Re 0.5210 0.5210 0.5210
O 0.1534 0.4479 0.7676
O 0.3550 0.9035 0.5675
O 0.4479 0.7676 0.1534
O 0.5675 0.3550 0.9035
O 0.7676 0.1534 0.4479
O 0.9035 0.5675 0.3550

---

Entry 5:
Computed, not measured: a geometry-optimized TbDy2TlC structure at the GGA-PBE level of DFT.

Calculated values
Energy of formation, eV per atom: -0.447
Magnetic moment, μB per formula unit: 0.0
Calculated volume, Å³ per cell: 120.1

Cell: 4.9240 4.9240 4.9529 Å, 90.00 90.00 90.00°
Element x y z (fractional)
Tb 0.0000 0.0000 0.0000
Dy 0.0000 0.5000 0.5000
Dy 0.5000 0.0000 0.5000
Tl 0.5000 0.5000 0.0000
C 0.0000 0.0000 0.5000

---

Entry 6:
Computed, not measured: a geometry-optimized Gd2CdAs structure at the GGA-PBE level of DFT.

Calculated values
Energy above the most stable polymorph in this dataset, meV per atom: 42
Energy of formation, eV per atom: -0.771
Magnetic moment, μB per formula unit: 15.0
Calculated volume, Å³ per cell: 98.8

Cell: 3.7857 3.7857 6.8928 Å, 90.00 90.00 90.00°
Element x y z (fractional)
Gd 0.0000 0.0000 0.2306
Gd 0.0000 0.0000 0.7694
Cd 0.5000 0.5000 0.5000
As 0.5000 0.5000 0.0000